No. 1
This record from Alexandria describes a geometry-optimized LaRu2Rh structure. The functional is PBE-GGA.

Cell and atoms, written as extended XYZ:
```
4
Lattice="5.069 0.001 0.000 1.722 4.767 0.000 -3.396 -2.384 2.912" Properties=species:S:1:pos:R:3 pbc="T T T"
Rh 2.535 0.000 1.456
Ru 0.000 0.000 0.000
Ru 3.396 2.384 0.000
La 0.861 2.384 1.456
```

Results
* space group: No. 139
* crystal system: tetragonal

***

No. 2
This record from Alexandria describes a geometry-optimized LaRu3Rh structure. The functional is PBE-GGA.

Cell and atoms, written as extended XYZ:
```
5
Lattice="4.725 0.000 0.000 0.000 4.725 0.000 0.000 0.000 4.725" Properties=species:S:1:pos:R:3 pbc="T T T"
Rh 2.363 2.363 2.363
Ru 0.000 0.000 2.363
Ru 0.000 2.363 0.000
Ru 2.363 0.000 0.000
La 0.000 0.000 0.000
```

Results
* space group: No. 221
* crystal system: cubic

***

Calculated calculated formation energy in order - 21.2 195.0 kJ per mole of atoms